# 1
# ZnOs3Au | Alexandria via LeMat-Bulk | PBEsol | optimized geometry
data_ZnOs3Au
_chemical_formula_sum 'Zn1 Os3 Au1'
_space_group_name_H-M_alt 'P m -3 m'
_space_group_IT_number 221
_space_group_name_Hall '-P 4 2 3'
_cell_length_a 4.418
_cell_length_b 4.418
_cell_length_c 4.418
_cell_angle_alpha 90.00
_cell_angle_beta 90.00
_cell_angle_gamma 90.00
loop_
_atom_site_label
_atom_site_fract_x
_atom_site_fract_y
_atom_site_fract_z
Zn1 0.000 0.000 0.000
Os1 0.000 0.000 0.500
Au1 0.500 0.500 0.500
# - Calculated formation energy: 220.7 kJ per mole of atoms
# - N(E_F): 1.28 states/eV per atom


# 2
# MnCd2Te | Alexandria via LeMat-Bulk | PBEsol | optimized geometry
data_MnCd2Te
_chemical_formula_sum 'Mn2 Cd4 Te2'
_space_group_name_H-M_alt 'I m m m'
_space_group_IT_number 71
_space_group_name_Hall '-I 2 2'
_cell_length_a 3.529
_cell_length_b 4.082
_cell_length_c 12.314
_cell_angle_alpha 90.00
_cell_angle_beta 90.00
_cell_angle_gamma 90.00
loop_
_atom_site_label
_atom_site_fract_x
_atom_site_fract_y
_atom_site_fract_z
Mn1 0.000 0.000 0.000
Cd1 0.000 0.500 0.299
Te1 0.000 0.000 0.500
# - Energy relative to the elements, uncorrected: 0.89 eV per formula unit
# - N(E_F): 0.50 states/eV per atom


# 3
# HfSc3Ni | Alexandria via LeMat-Bulk | PBEsol | optimized geometry
data_HfSc3Ni
_chemical_formula_sum 'Hf1 Sc3 Ni1'
_space_group_name_H-M_alt 'P m -3 m'
_space_group_IT_number 221
_space_group_name_Hall '-P 4 2 3'
_cell_length_a 4.985
_cell_length_b 4.985
_cell_length_c 4.985
_cell_angle_alpha 90.00
_cell_angle_beta 90.00
_cell_angle_gamma 90.00
loop_
_atom_site_label
_atom_site_fract_x
_atom_site_fract_y
_atom_site_fract_z
Hf1 0.000 0.000 0.000
Sc1 0.000 0.000 0.500
Ni1 0.500 0.500 0.500
# - Calculated formation energy: 115.6 kJ per mole of atoms
# - N(E_F): 0.92 states/eV per atom


# 4
# InNiAu2 | Alexandria via LeMat-Bulk | PBEsol | optimized geometry
data_InNiAu2
_chemical_formula_sum 'In4 Ni4 Au8'
_space_group_name_H-M_alt 'F -4 3 m'
_space_group_IT_number 216
_space_group_name_Hall 'F -4 2 3'
_cell_length_a 6.369
_cell_length_b 6.369
_cell_length_c 6.369
_cell_angle_alpha 90.00
_cell_angle_beta 90.00
_cell_angle_gamma 90.00
loop_
_atom_site_label
_atom_site_fract_x
_atom_site_fract_y
_atom_site_fract_z
In1 0.000 0.000 0.000
Ni1 0.250 0.250 0.250
Au1 0.000 0.000 0.500
Au2 0.250 0.250 0.750
# - Calculated formation energy: -4.7 kJ per mole of atoms
# - N(E_F): 0.46 states/eV per atom


# 5
# LiTcSb3 | Alexandria via LeMat-Bulk | PBEsol | optimized geometry
data_LiTcSb3
_chemical_formula_sum 'Li1 Tc1 Sb3'
_space_group_name_H-M_alt 'P m -3 m'
_space_group_IT_number 221
_space_group_name_Hall '-P 4 2 3'
_cell_length_a 5.157
_cell_length_b 5.157
_cell_length_c 5.157
_cell_angle_alpha 90.00
_cell_angle_beta 90.00
_cell_angle_gamma 90.00
loop_
_atom_site_label
_atom_site_fract_x
_atom_site_fract_y
_atom_site_fract_z
Li1 0.000 0.000 0.000
Tc1 0.500 0.500 0.500
Sb1 0.000 0.500 0.500
# - Energy relative to the elements, uncorrected: 1.90 eV per formula unit
# - Excess energy over the best structure of this formula in the dataset: 0 meV/atom
# - N(E_F): 0.97 states/eV per atom


# 6
# Cr2NiSe | Alexandria via LeMat-Bulk | PBEsol | optimized geometry
data_Cr2NiSe
_chemical_formula_sum 'Cr2 Ni1 Se1'
_space_group_name_H-M_alt 'P 4 m m'
_space_group_IT_number 99
_cell_length_a 3.031
_cell_length_b 3.031
_cell_length_c 5.353
_cell_angle_alpha 90.00
_cell_angle_beta 90.00
_cell_angle_gamma 90.00
loop_
_space_group_symop_operation_xyz
'x,y,z'
'-y,x,z'
'-x,-y,z'
'y,-x,z'
'-x,y,z'
'y,x,z'
'x,-y,z'
'-y,-x,z'
loop_
_atom_site_label
_atom_site_fract_x
_atom_site_fract_y
_atom_site_fract_z
Cr1 0.000 0.000 0.000
Cr2 0.500 0.500 0.242
Ni1 0.000 0.000 0.477
Se1 0.500 0.500 0.742
# - Energy relative to the elements, uncorrected: 0.54 eV per formula unit
# - N(E_F): 0.68 states/eV per atom